Density functional theory data (GGA-PBE) for crystalline Sm4Dy8Y at its relaxed geometry.

Output
SG: Pm-3m
Total DFT energy (no corrections) (eV per atom): -4.28
Formation enthalpy at 0 K (meV/atom): 506
D(E_F) (states/eV/atom): 1.468

```
Sm4Dy8Y
1.0
7.785 0.000 0.000
0.000 7.785 0.000
0.000 0.000 7.785
Sm Dy Y
4 8 1
Cartesian
0.000 0.000 0.000 Sm
0.000 3.893 3.893 Sm
3.893 0.000 3.893 Sm
3.893 3.893 0.000 Sm
1.867 1.867 1.867 Dy
1.867 1.867 5.918 Dy
1.867 5.918 1.867 Dy
1.867 5.918 5.918 Dy
5.918 1.867 1.867 Dy
5.918 1.867 5.918 Dy
5.918 5.918 1.867 Dy
5.918 5.918 5.918 Dy
3.893 3.893 3.893 Y
```